! ErIn3Hg2 | Alexandria | PBE | relaxed; values from VASP
! ρ = 10.25 Mg/m³
! calculated formation energy = -0.204 eV per atom
! symmetry = Cmmm (65)
! DOS(E_F) = 2.32 states/eV/f.u.
! magnetic moment = 0.0000 μB/atom
! E_tot = -2.434 eV/atom
&SYSTEM
  ibrav = 0, nat = 6, ntyp = 3
/
ATOMIC_SPECIES
In 114.82 In.upf
Er 167.26 Er.upf
Hg 200.59 Hg.upf
CELL_PARAMETERS angstrom
4.652 0.000 0.000
0.000 4.361 -1.475
0.000 0.031 7.278
ATOMIC_POSITIONS angstrom
In 2.326 0.758 2.241
In 2.326 3.634 3.562
In 2.326 2.181 -0.737
Er 0.000 0.000 0.000
Hg 0.000 1.483 4.385
Hg 0.000 2.910 1.419